DFT (PBE-GGA) results for crystalline Tl2CuSi at its relaxed geometry.

The space group is F-43m (No. 216) and the conventional cell measures 7.122, 7.122 and 7.122 Å, with angles of 90.00, 90.00 and 90.00 degrees. The distinct sites, in fractional coordinates, are Tl at (0.000, 0.000, 0.000), Tl at (0.250, 0.250, 0.250), Cu at (0.000, 0.000, 0.500) and Si at (0.250, 0.250, 0.750).

As for the formation energy without anion corrections: 0.60 eV/atom. As for the spin magnetization: 0.00 Bohr magnetons per cell.


DFT (PBE-GGA) results for crystalline CaAcNi2 at its relaxed geometry.

The space group is Amm2 (No. 38) and the conventional cell measures 4.225, 4.101 and 10.984 Å, with angles of 90.00, 90.00 and 90.00 degrees. The distinct sites, in fractional coordinates, are Ca at (0.000, 0.000, 0.000), Ac at (0.500, 0.000, 0.278), Ni at (0.000, 0.000, 0.696) and Ni at (0.500, 0.000, 0.577).

The value obtained for the formation energy is -203 meV per atom. As for the spin magnetization: 0.00 Bohr magnetons per cell.


DFT (PBE-GGA) results for crystalline Ac2SmEu at its relaxed geometry.

The space group is R-3m (No. 166, hexagonal axes) and the conventional cell measures 3.7842, 3.7842 and 40.4736 Å, with angles of 90.00, 90.00 and 120.00 degrees. The distinct sites, in fractional coordinates, are Ac at (0.0000, 0.0000, 0.0859), Sm at (0.0000, 0.0000, 0.0000) and Eu at (0.0000, 0.0000, 0.5000).

The value obtained for the formation energy is 234 meV per atom. As for the spin magnetization: 21.53 Bohr magnetons per cell.